Computed, not measured: CdAsCl after structural relaxation at the PBE level of DFT.

Calculated values
- DOS(E_F): 0.347 states/eV per atom
- Electronic total energy: -2.740 eV/atom
- Formation energy (no corrections): -0.27 eV/atom
- SG: Immm, No. 71

a b c (Å): 3.528 6.614 7.823
angles (deg): 115.01 103.03 90.00
Sites, in units of the cell vectors:
Cd  0.858  0.358  0.717
Cd  0.142  0.642  0.283
As  0.500  0.692  0.000
As  0.500  0.308  0.000
Cl  0.222  0.222  0.443
Cl  0.778  0.778  0.557